No. 1
The following is a DFT calculation (PBE-GGA) of crystalline HoCuHgSe3 at its relaxed geometry.

Cell: 6.8949 6.8949 10.7213 Å, 90.00 90.00 146.80°
With the nearest neighbours (Å) after each atom.
Positions (direct):
Se: 0.6421 0.3579 0.9273  1 Cu 2.43
Se: 0.6421 0.3579 0.5727  1 Cu 2.43
Se: 0.9082 0.0918 0.7500  2 Cu 2.53
Se: 0.3579 0.6421 0.4273  1 Cu 2.43
Se: 0.3579 0.6421 0.0727  1 Cu 2.43
Se: 0.0918 0.9082 0.2500  2 Cu 2.53
Ho: 0.0000 0.0000 0.0000  6 Se 2.83-2.94
Ho: 0.0000 0.0000 0.5000  6 Se 2.83-2.94
Cu: 0.4721 0.5279 0.2500  4 Se 2.43-2.53
Cu: 0.5279 0.4721 0.7500  4 Se 2.43-2.53
Hg: 0.2413 0.7587 0.7500  6 Se 2.96-3.03
Hg: 0.7587 0.2413 0.2500  6 Se 2.96-3.03



No. 2
The following is a DFT calculation (PBE-GGA) of crystalline HoCuHgTe3 at its relaxed geometry.

Cell: 7.7621 7.7621 11.1471 Å, 90.00 90.00 149.55°
With the nearest neighbours (Å) after each atom.
Positions (direct):
Te: 0.1403 0.8597 0.0736  1 Cu 2.61
Te: 0.8597 0.1403 0.9264  1 Cu 2.61
Te: 0.5896 0.4104 0.7500  2 Cu 2.68
Te: 0.4104 0.5896 0.2500  2 Cu 2.68
Te: 0.8597 0.1403 0.5736  1 Cu 2.61
Te: 0.1403 0.8597 0.4264  1 Cu 2.61
Ho: 0.5000 0.5000 0.0000  6 Te 3.04-3.09
Ho: 0.5000 0.5000 0.5000  6 Te 3.04-3.09
Cu: 0.0261 0.9739 0.2500  4 Te 2.61-2.68
Cu: 0.9739 0.0261 0.7500  4 Te 2.61-2.68
Hg: 0.7495 0.2505 0.2500  6 Te 3.16-3.27
Hg: 0.2505 0.7495 0.7500  6 Te 3.16-3.27



No. 3
The following is a DFT calculation (PBE-GGA) of crystalline CuHgI4 at its relaxed geometry.

Cell: 4.2626 4.2626 13.1281 Å, 90.00 90.00 90.00°
With the nearest neighbours (Å) after each atom.
Positions (direct):
Hg: 0.5000 0.5000 0.5000  4 I 2.85
I: 0.0000 0.5000 0.3564  2 Hg 2.85
I: 0.5000 0.0000 0.6436  2 Hg 2.85
I: 0.5000 0.0000 0.1122  2 Cu 2.59
I: 0.0000 0.5000 0.8878  2 Cu 2.59
Cu: 0.0000 0.0000 0.0000  4 I 2.59



No. 4
The following is a DFT calculation (PBE-GGA) of crystalline CuHgSeI at its relaxed geometry.

Cell: 10.4722 4.3585 10.2488 Å, 90.00 90.00 90.00°
With the nearest neighbours (Å) after each atom.
Positions (direct):
Cu: 0.4068 0.0000 0.7804  2 Se 2.43, 1 I 2.61
Cu: 0.0932 0.0000 0.7804  2 Se 2.43, 1 I 2.61
Cu: 0.5932 0.0000 0.2196  2 Se 2.43, 1 I 2.61
Cu: 0.9068 0.0000 0.2196  2 Se 2.43, 1 I 2.61
Hg: 0.2500 0.5000 0.2125  2 Se 2.59
Hg: 0.0000 0.5000 0.5000  2 Se 2.57
Hg: 0.7500 0.5000 0.7875  2 Se 2.59
Hg: 0.5000 0.5000 0.5000  2 Se 2.57
I: 0.2500 0.0000 0.9786  2 Cu 2.61
I: 0.2500 0.0000 0.5584  2 Cu 2.81
I: 0.7500 0.0000 0.4416  2 Cu 2.81
I: 0.7500 0.0000 0.0214  2 Cu 2.61
Se: 0.4942 0.5000 0.2494  2 Cu 2.43, 2 Hg 2.57-2.59
Se: 0.5058 0.5000 0.7506  2 Cu 2.43, 2 Hg 2.57-2.59
Se: 0.0058 0.5000 0.2494  2 Cu 2.43, 2 Hg 2.57-2.59
Se: 0.9942 0.5000 0.7506  2 Cu 2.43, 2 Hg 2.57-2.59



| no. | mass density (kg/m³) | final energy (eV/atom) |
| --- | --- | --- |
| 1 | 7926 | -3.92 |
| 2 | 7922 | -3.53 |
| 3 | 5372 | -1.88 |
| 4 | 6674 | -2.45 |